VASP calculation (PBE-GGA) on a relaxed LuScS crystal.

Cell: 3.6114 3.6114 5.9239 Å, 90.00 90.00 120.00°
With the nearest neighbours (Å) after each atom.
Positions (direct):
1 Sc 0.3333 0.6667 0.5988  3 S 2.58
2 S 0.6667 0.3333 0.3430  3 Sc 2.58, 3 Lu 2.68
3 Lu 0.0000 0.0000 0.0582  3 S 2.68

Properties
* E: -18.69 eV for the cell shown
* symmetry: P3m1, No. 156



VASP calculation (PBE-GGA) on a relaxed PrSm4Rh5 crystal.

Cell: 3.4988 3.4988 17.7256 Å, 90.00 90.00 90.00°
With the nearest neighbours (Å) after each atom.
Positions (direct):
1 Sm 0.0000 0.0000 0.2022  8 Rh 3.02-3.04
2 Sm 0.0000 0.0000 0.4008  8 Rh 3.03-3.04
3 Sm 0.0000 0.0000 0.7978  8 Rh 3.02-3.04
4 Sm 0.0000 0.0000 0.5992  8 Rh 3.03-3.04
5 Rh 0.5000 0.5000 0.8952  4 Sm 3.02, 4 Pr 3.09
6 Rh 0.5000 0.5000 0.1048  4 Sm 3.02, 4 Pr 3.09
7 Rh 0.5000 0.5000 0.6982  8 Sm 3.03-3.04
8 Rh 0.5000 0.5000 0.5000  8 Sm 3.04
9 Rh 0.5000 0.5000 0.3018  8 Sm 3.03-3.04
10 Pr 0.0000 0.0000 0.0000  8 Rh 3.09

Properties
* E_form: -683.0 meV/atom
* symmetry: P4/mmm, No. 123



VASP calculation (PBE-GGA) on a relaxed CsAsH2 crystal.

Cell: 4.7449 4.7449 4.7449 Å, 60.00 60.00 60.00°
With the nearest neighbours (Å) after each atom.
Positions (direct):
1 As 0.0000 0.0000 0.0000  8 H 2.91
2 H 0.2500 0.2500 0.2500  4 As 2.91, 4 Cs 2.91
3 H 0.7500 0.7500 0.7500  4 As 2.91, 4 Cs 2.91
4 Cs 0.5000 0.5000 0.5000  8 H 2.91

Properties
* E: -8.75 eV for the cell shown
* symmetry: Fm-3m, No. 225